(1)
Compound: TbPm4Tm2Mg
Source: Alexandria
Functional: PBE-GGA
Structure: relaxed

```
8
Lattice="5.050 0.000 0.000 0.000 5.050 0.000 0.000 0.000 9.896" Properties=species:S:1:pos:R:3 pbc="T T T"
Tb 0.000 0.000 0.000
Pm 0.000 2.525 2.522
Pm 0.000 2.525 7.374
Pm 2.525 0.000 2.522
Pm 2.525 0.000 7.374
Tm 0.000 0.000 4.948
Tm 2.525 2.525 0.000
Mg 2.525 2.525 4.948
```

Calculated values
Space-group type: No. 123
Energy of formation from the pure elements, eV/atom: 0.01
Fermi-level density of states, states/eV/atom: 1.297

***

(2)
Compound: TbPm2Tm4Mg
Source: Alexandria
Functional: PBE-GGA
Structure: relaxed

```
8
Lattice="4.932 0.000 0.000 0.000 4.943 0.000 0.000 0.000 10.062" Properties=species:S:1:pos:R:3 pbc="T T T"
Tb 0.000 0.000 0.000
Pm 0.000 0.000 5.031
Pm 2.466 2.472 0.000
Tm 0.000 2.472 2.525
Tm 0.000 2.472 7.536
Tm 2.466 0.000 2.525
Tm 2.466 0.000 7.537
Mg 2.466 2.472 5.031
```

Calculated values
Space-group type: No. 47
Energy of formation from the pure elements, eV/atom: 0.03
Fermi-level density of states, states/eV/atom: 1.499

***

(3)
Compound: Tb6Pm2TmMg
Source: Alexandria
Functional: PBE-GGA
Structure: relaxed

```
20
Lattice="4.949 -9.842 0.000 4.949 9.842 0.000 -1.003 0.000 6.529" Properties=species:S:1:pos:R:3 pbc="T T T"
Tb 2.916 4.692 1.812
Tb 3.393 6.954 6.349
Tb 5.000 6.954 3.444
Tb 3.777 1.659 0.116
Tb 6.480 4.692 1.452
Tb 3.275 -1.659 3.380
Tb 5.619 1.659 3.148
Tb 2.414 -4.692 5.077
Tb 5.118 -1.659 6.413
Tb 3.895 -6.954 3.085
Tb 5.502 -6.954 0.180
Tb 5.978 -4.692 4.717
Pm 2.113 1.628 3.292
Pm 2.615 -1.628 0.027
Pm 6.280 1.628 6.501
Pm 6.781 -1.628 3.237
Tm 4.698 9.715 1.632
Tm 4.196 -9.715 4.897
Mg 4.196 4.050 4.897
Mg 4.698 -4.050 1.632
```

Calculated values
Space-group type: No. 15
Energy of formation from the pure elements, eV/atom: 0.10
Fermi-level density of states, states/eV/atom: 1.500

***

(4)
Compound: Tb4Pm2Tm2Mg
Source: Alexandria
Functional: PBE-GGA
Structure: relaxed

```
9
Lattice="6.427 0.000 0.000 0.552 6.432 0.000 2.024 1.871 6.950" Properties=species:S:1:pos:R:3 pbc="T T T"
Tb 2.075 2.802 2.800
Tb 2.935 5.986 1.537
Tb 6.067 2.317 5.413
Tb 6.927 5.502 4.150
Pm 2.815 3.564 6.150
Pm 6.187 4.739 0.800
Tm 3.764 6.702 4.852
Tm 5.238 1.601 2.098
Mg 3.489 3.216 0.000
```

Calculated values
Space-group type: No. 2
Energy of formation from the pure elements, eV/atom: 0.10
Fermi-level density of states, states/eV/atom: 1.032